1.
The following is a PBE calculation of a relaxed structure of TlAgBiBr6, from Alexandria.

Lattice parameters (Å, degrees): 7.299 7.299 13.869 90.00 90.00 120.00
Positions (direct):
Tl 0.000 0.000 0.000
Tl 0.000 0.000 0.500
Ag 0.333 0.667 0.250
Ag 0.667 0.333 0.750
Bi 0.333 0.667 0.750
Bi 0.667 0.333 0.250
Br 0.009 0.360 0.134
Br 0.009 0.648 0.366
Br 0.352 0.360 0.366
Br 0.352 0.991 0.134
Br 0.360 0.009 0.634
Br 0.360 0.352 0.866
Br 0.640 0.648 0.134
Br 0.640 0.991 0.366
Br 0.648 0.009 0.866
Br 0.648 0.640 0.634
Br 0.991 0.352 0.634
Br 0.991 0.640 0.866

Output
SG = P-31c (163)
formation energy (no corrections) = -574 meV per atom
DOS at the Fermi energy = 0.664 states/eV/atom



2.
The following is a PBE calculation of a relaxed structure of TlInAg2, from Alexandria.

Lattice parameters (Å, degrees): 5.034 5.034 6.018 100.91 100.91 37.44
Positions (direct):
Tl 0.000 0.000 0.000
In 0.500 0.500 0.500
Ag 0.246 0.246 0.723
Ag 0.754 0.754 0.277

Output
SG = C2/m (12)
E_form = 109.1 meV per atom
DOS at the Fermi energy = 0.399 states/eV/atom



3.
The following is a PBE calculation of a relaxed structure of Pr2Dy6Ho3, from Alexandria.

Lattice parameters (Å, degrees): 17.014 17.014 17.014 163.99 163.99 22.71
Positions (direct):
Pr 0.046 0.046 0.000
Pr 0.954 0.954 0.000
Dy 0.123 0.623 0.500
Dy 0.196 0.196 0.000
Dy 0.377 0.877 0.500
Dy 0.623 0.123 0.500
Dy 0.804 0.804 0.000
Dy 0.877 0.377 0.500
Ho 0.299 0.299 0.000
Ho 0.500 0.500 0.000
Ho 0.701 0.701 0.000

Output
SG = I4/mmm (139)
E_form = 270.6 meV per atom
ΔE to the lowest computed polymorph = 1.00 eV/f.u.
DOS at the Fermi energy = 1.476 states/eV/atom



4.
The following is a PBE calculation of a relaxed structure of AgPdCl3, from Alexandria.

Lattice parameters (Å, degrees): 4.875 4.875 4.875 90.00 90.00 90.00
Positions (direct):
Ag 0.000 0.000 0.000
Pd 0.500 0.500 0.500
Cl 0.000 0.500 0.500
Cl 0.500 0.000 0.500
Cl 0.500 0.500 0.000

Output
SG = Pm-3m (221)
formation energy (no corrections) = -233 meV per atom
ΔE to the lowest computed polymorph = 1.02 eV/f.u.
DOS at the Fermi energy = 0.225 states/eV/atom



5.
The following is a PBE calculation of a relaxed structure of TbErGaAg, from Alexandria.

Lattice parameters (Å, degrees): 5.101 5.101 5.101 60.00 60.00 60.00
Positions (direct):
Tb 0.000 0.000 0.000
Er 0.500 0.500 0.500
Ga 0.250 0.250 0.250
Ag 0.750 0.750 0.750

Output
SG = F-43m (216)
E_form = -461.2 meV per atom
DOS at the Fermi energy = 0.737 states/eV/atom



6.
The following is a PBE calculation of a relaxed structure of NbInH2, from Alexandria.

Lattice parameters (Å, degrees): 4.040 4.040 4.040 60.00 60.00 60.00
Positions (direct):
Nb 0.000 0.000 0.000
In 0.500 0.500 0.500
H 0.250 0.250 0.250
H 0.750 0.750 0.750

Output
SG = Fm-3m (225)
ΔE to the lowest computed polymorph = 3.11 eV/f.u.
DOS at the Fermi energy = 0.657 states/eV/atom



7.
The following is a PBE calculation of a relaxed structure of CsAl3Rh, from Alexandria.

Lattice parameters (Å, degrees): 4.908 4.908 4.908 90.00 90.00 90.00
Positions (direct):
Cs 0.000 0.000 0.000
Al 0.000 0.500 0.500
Al 0.500 0.000 0.500
Al 0.500 0.500 0.000
Rh 0.500 0.500 0.500

Output
SG = Pm-3m (221)
E_form = -157.2 meV per atom
ΔE to the lowest computed polymorph = 0.00 eV/f.u.
DOS at the Fermi energy = 0.791 states/eV/atom



8.
The following is a PBE calculation of a relaxed structure of Ta2Os2Pb, from Alexandria.

Lattice parameters (Å, degrees): 6.297 6.297 6.297 139.89 139.89 58.03
Positions (direct):
Ta 0.250 0.750 0.500
Ta 0.750 0.250 0.500
Os 0.119 0.119 0.000
Os 0.881 0.881 0.000
Pb 0.500 0.500 0.000

Output
SG = I4/mmm (139)
E_form = 105.3 meV per atom
ΔE to the lowest computed polymorph = 0.16 eV/f.u.
DOS at the Fermi energy = 0.377 states/eV/atom



9.
The following is a PBE calculation of a relaxed structure of Li2Tb2NdSb2, from Alexandria.

Lattice parameters (Å, degrees): 9.409 9.409 9.409 29.34 29.34 29.34
Positions (direct):
Li 0.090 0.090 0.090
Li 0.910 0.910 0.910
Tb 0.369 0.369 0.369
Tb 0.631 0.631 0.631
Nd 0.500 0.500 0.500
Sb 0.239 0.239 0.239
Sb 0.761 0.761 0.761

Output
SG = R-3m (166)
formation energy (no corrections) = -582 meV per atom
DOS at the Fermi energy = 0.794 states/eV/atom



10.
The following is a PBE calculation of a relaxed structure of PaNb2Ga, from Alexandria.

Lattice parameters (Å, degrees): 4.565 4.565 3.668 90.00 90.00 90.00
Positions (direct):
Pa 0.000 0.000 0.000
Nb 0.000 0.500 0.500
Nb 0.500 0.000 0.500
Ga 0.500 0.500 0.000

Output
SG = P4/mmm (123)
E_form = -141.4 meV per atom
ΔE to the lowest computed polymorph = 0.00 eV/f.u.
DOS at the Fermi energy = 1.279 states/eV/atom



11.
The following is a PBE calculation of a relaxed structure of Ba3LiCa3, from Alexandria.

Lattice parameters (Å, degrees): 7.361 7.361 13.133 94.94 94.94 101.85
Positions (direct):
Ba 0.172 0.828 0.000
Ba 0.305 0.695 0.500
Ba 0.397 0.397 0.128
Ba 0.603 0.603 0.872
Ba 0.695 0.305 0.500
Ba 0.828 0.172 0.000
Li 0.178 0.178 0.556
Li 0.822 0.822 0.444
Ca 0.068 0.429 0.763
Ca 0.100 0.100 0.306
Ca 0.429 0.068 0.763
Ca 0.571 0.932 0.237
Ca 0.900 0.900 0.694
Ca 0.932 0.571 0.237

Output
SG = C2/m (12)
E_form = 85.5 meV per atom
DOS at the Fermi energy = 1.198 states/eV/atom



12.
The following is a PBE calculation of a relaxed structure of K2CaSb, from Alexandria.

Lattice parameters (Å, degrees): 9.454 9.454 9.454 32.25 32.25 32.25
Positions (direct):
K 0.000 0.000 0.000
K 0.190 0.190 0.190
Ca 0.427 0.427 0.427
Sb 0.771 0.771 0.771

Output
SG = R3m (160)
formation energy (no corrections) = -423 meV per atom
DOS at the Fermi energy = 0.336 states/eV/atom



13.
The following is a PBE calculation of a relaxed structure of VAu3Br, from Alexandria.

Lattice parameters (Å, degrees): 5.090 5.090 5.090 90.00 90.00 90.00
Positions (direct):
V 0.000 0.000 0.000
Au 0.000 0.500 0.500
Au 0.500 0.000 0.500
Au 0.500 0.500 0.000
Br 0.500 0.500 0.500

Output
SG = Pm-3m (221)
formation energy (no corrections) = 1291 meV per atom
ΔE to the lowest computed polymorph = 2.00 eV/f.u.
DOS at the Fermi energy = 1.556 states/eV/atom



14.
The following is a PBE calculation of a relaxed structure of YSnAu, from Alexandria.

Lattice parameters (Å, degrees): 6.692 6.692 6.692 141.96 125.74 68.18
Positions (direct):
Y 0.194 0.194 0.000
Y 0.806 0.806 0.000
Sn 0.244 0.500 0.744
Sn 0.756 0.500 0.256
Au 0.366 0.866 0.500
Au 0.634 0.134 0.500

Output
SG = Immm (71)
E_form = -680.1 meV per atom
DOS at the Fermi energy = 0.555 states/eV/atom



15.
The following is a PBE calculation of a relaxed structure of BeFe2I, from Alexandria.

Lattice parameters (Å, degrees): 4.128 4.128 4.128 60.00 60.00 60.00
Positions (direct):
Be 0.000 0.000 0.000
Fe 0.250 0.250 0.250
Fe 0.750 0.750 0.750
I 0.500 0.500 0.500

Output
SG = Fm-3m (225)
formation energy (no corrections) = 817 meV per atom
ΔE to the lowest computed polymorph = 0.08 eV/f.u.
DOS at the Fermi energy = 1.015 states/eV/atom



16.
The following is a PBE calculation of a relaxed structure of ScCdCl2, from Alexandria.

Lattice parameters (Å, degrees): 5.575 5.575 3.448 105.98 105.98 107.48
Positions (direct):
Sc 0.000 0.000 0.000
Cd 0.500 0.500 0.000
Cl 0.000 0.500 0.000
Cl 0.500 0.000 0.000

Output
SG = C2/m (12)
formation energy (no corrections) = -747 meV per atom
ΔE to the lowest computed polymorph = 2.14 eV/f.u.
DOS at the Fermi energy = 0.528 states/eV/atom



17.
The following is a PBE calculation of a relaxed structure of Ca2GaF6, from Alexandria.

Lattice parameters (Å, degrees): 5.167 5.167 10.603 90.00 90.00 90.00
Positions (direct):
Ca 0.000 0.000 0.166
Ca 0.000 0.000 0.834
Ca 0.500 0.500 0.334
Ca 0.500 0.500 0.666
Ga 0.000 0.000 0.500
Ga 0.500 0.500 0.000
F 0.189 0.189 0.338
F 0.189 0.189 0.662
F 0.202 0.202 0.000
F 0.298 0.702 0.500
F 0.311 0.689 0.162
F 0.311 0.689 0.838
F 0.689 0.311 0.162
F 0.689 0.311 0.838
F 0.702 0.298 0.500
F 0.798 0.798 0.000
F 0.811 0.811 0.338
F 0.811 0.811 0.662

Output
SG = P4_2/mnm (136)
formation energy (no corrections) = -3225 meV per atom
DOS at the Fermi energy = 0.273 states/eV/atom



18.
The following is a PBE calculation of a relaxed structure of Sr3TmAl8, from Alexandria.

Lattice parameters (Å, degrees): 10.009 10.009 10.009 33.40 33.40 33.40
Positions (direct):
Sr 0.000 0.000 0.000
Sr 0.125 0.125 0.125
Sr 0.500 0.500 0.500
Tm 0.625 0.625 0.625
Al 0.057 0.562 0.562
Al 0.064 0.064 0.566
Al 0.064 0.566 0.064
Al 0.312 0.312 0.312
Al 0.562 0.057 0.562
Al 0.562 0.562 0.057
Al 0.566 0.064 0.064
Al 0.812 0.812 0.812

Output
SG = R3m (160)
E_form = -289.1 meV per atom
DOS at the Fermi energy = 0.476 states/eV/atom



19.
The following is a PBE calculation of a relaxed structure of Mg3Al18Mo2, from Alexandria.

Lattice parameters (Å, degrees): 10.373 10.373 10.373 60.00 60.00 60.00
Positions (direct):
Mg 0.000 0.000 0.000
Mg 0.000 0.000 0.500
Mg 0.000 0.500 0.000
Mg 0.125 0.125 0.125
Mg 0.500 0.000 0.000
Mg 0.875 0.875 0.875
Al 0.059 0.323 0.323
Al 0.059 0.323 0.795
Al 0.059 0.795 0.323
Al 0.205 0.677 0.677
Al 0.205 0.677 0.941
Al 0.205 0.941 0.677
Al 0.233 0.233 0.517
Al 0.233 0.517 0.233
Al 0.233 0.517 0.517
Al 0.323 0.059 0.323
Al 0.323 0.059 0.795
Al 0.323 0.323 0.059
Al 0.323 0.323 0.795
Al 0.323 0.795 0.059
Al 0.323 0.795 0.323
Al 0.483 0.483 0.767
Al 0.483 0.767 0.483
Al 0.483 0.767 0.767
Al 0.517 0.233 0.233
Al 0.517 0.233 0.517
Al 0.517 0.517 0.233
Al 0.677 0.205 0.677
Al 0.677 0.205 0.941
Al 0.677 0.677 0.205
Al 0.677 0.677 0.941
Al 0.677 0.941 0.205
Al 0.677 0.941 0.677
Al 0.767 0.483 0.483
Al 0.767 0.483 0.767
Al 0.767 0.767 0.483
Al 0.795 0.059 0.323
Al 0.795 0.323 0.059
Al 0.795 0.323 0.323
Al 0.941 0.205 0.677
Al 0.941 0.677 0.205
Al 0.941 0.677 0.677
Mo 0.000 0.500 0.500
Mo 0.500 0.000 0.500
Mo 0.500 0.500 0.000
Mo 0.500 0.500 0.500

Output
SG = Fd-3m (227)
E_form = -154.7 meV per atom
DOS at the Fermi energy = 0.348 states/eV/atom



20.
The following is a PBE calculation of a relaxed structure of Li4AgSn5, from Alexandria.

Lattice parameters (Å, degrees): 3.434 3.434 17.729 90.00 90.00 90.00
Positions (direct):
Li 0.000 0.000 0.095
Li 0.000 0.000 0.291
Li 0.000 0.000 0.709
Li 0.000 0.000 0.905
Ag 0.000 0.000 0.500
Sn 0.500 0.500 0.000
Sn 0.500 0.500 0.192
Sn 0.500 0.500 0.395
Sn 0.500 0.500 0.605
Sn 0.500 0.500 0.808

Output
SG = P4/mmm (123)
E_form = -229.1 meV per atom
DOS at the Fermi energy = 0.319 states/eV/atom